The following is a PBE calculation of KLiAu2F8 after structural relaxation, from Alexandria via LeMat-Bulk.

Cell and atoms, written as POSCAR:
```
KLiAu2F8
1.0
2.801 1.617 6.533
-2.801 1.617 6.533
0.000 -3.234 6.533
K Li Au F
1 1 2 8
Direct
0.000 0.000 0.000 K
0.500 0.500 0.500 Li
0.212 0.212 0.212 Au
0.788 0.788 0.788 Au
0.162 0.378 0.809 F
0.191 0.838 0.622 F
0.312 0.312 0.312 F
0.378 0.809 0.162 F
0.622 0.191 0.838 F
0.688 0.688 0.688 F
0.809 0.162 0.378 F
0.838 0.622 0.191 F
```

density of states at the Fermi level	0.6352	states/eV/atom
V	14.80	A^3/atom
total magnetization	0.0	μB per formula unit

The following is a PBE calculation of KLiAuF6 after structural relaxation, from Alexandria via LeMat-Bulk.

Cell and atoms, written as POSCAR:
```
KLiAuF6
1.0
2.795 -4.634 0.000
2.795 4.634 0.000
-0.095 0.000 5.799
K Li Au F
1 1 1 6
Direct
0.000 0.000 0.000 K
0.317 0.683 0.500 Li
0.662 0.338 0.500 Au
0.009 0.638 0.294 F
0.362 0.991 0.706 F
0.367 0.361 0.312 F
0.639 0.633 0.688 F
0.642 0.021 0.311 F
0.979 0.358 0.689 F
```

V	16.69	A^3/atom
total magnetization	1.0	μB per formula unit

Summary of energy relative to the elements, uncorrected in meV/atom
-1382, -1860
(order as listed above)
Summary of E_tot in eV/atom
-3.43, -3.81
(order as listed above)